1.
Below is an optimized crystal structure of TlCdSe2, with properties calculated at the GGA-PBE level.

Output
Fermi-level density of states = 0.52 states/eV/atom
calculated volume = 134.5 Å³/f.u.
space group = No. 160
uncorrected formation energy = -0.365 eV/atom

abc: 4.5336 4.5336 7.9962
angles: 73.53 73.53 60.00
Element x y z (fractional)
Se 0.8549 0.8549 0.4352
Se 0.3675 0.3675 0.8974
Tl 0.9840 0.9840 0.0480
Cd 0.4861 0.4861 0.5416

2.
Below is an optimized crystal structure of TlCd2Se, with properties calculated at the GGA-PBE level.

Output
Fermi-level density of states = 0.53 states/eV/atom
energy above the most stable polymorph in this dataset = 0.073 eV per atom
calculated volume = 106.5 Å³/f.u.
space group = No. 35
uncorrected formation energy = -0.096 eV/atom

abc: 3.7521 3.7521 7.5679
angles: 90.00 90.00 89.91
Element x y z (fractional)
Tl 0.5000 0.5000 0.7442
Se 0.0000 0.0000 0.4336
Cd 0.0000 0.0000 0.0395
Cd 0.5000 0.5000 0.2828

3.
Below is an optimized crystal structure of Tl2CdSe, with properties calculated at the GGA-PBE level.

Output
Fermi-level density of states = 0.29 states/eV/atom
energy above the most stable polymorph in this dataset = 0.053 eV per atom
calculated volume = 111.0 Å³/f.u.
space group = No. 35
uncorrected formation energy = -0.155 eV/atom

abc: 3.8053 3.8053 7.6675
angles: 90.00 90.00 90.52
Element x y z (fractional)
Tl 0.5000 0.5000 0.2885
Tl 0.0000 0.0000 0.9619
Cd 0.0000 0.0000 0.5313
Se 0.5000 0.5000 0.7183

4.
Below is an optimized crystal structure of Tl3CdSe4, with properties calculated at the GGA-PBE level.

Output
Fermi-level density of states = 0.36 states/eV/atom
calculated volume = 282.2 Å³/f.u.
space group = No. 31
uncorrected formation energy = -0.292 eV/atom

abc: 7.2208 7.7706 10.0603
angles: 90.00 90.00 90.00
Element x y z (fractional)
Tl 0.5136 0.3224 0.7467
Tl 0.5229 0.8229 0.0000
Tl 0.0229 0.1771 0.5000
Tl 0.5136 0.3224 0.2533
Tl 0.0136 0.6776 0.7533
Tl 0.0136 0.6776 0.2467
Se 0.1294 0.3390 0.7804
Se 0.1294 0.3390 0.2196
Se 0.0731 0.8426 0.0000
Se 0.6294 0.6610 0.2804
Se 0.6306 0.2202 0.0000
Se 0.1306 0.7798 0.5000
Se 0.6294 0.6610 0.7196
Se 0.5731 0.1574 0.5000
Cd 0.0025 0.1878 0.0000
Cd 0.5025 0.8122 0.5000

5.
Below is an optimized crystal structure of Tl2CdSe, with properties calculated at the GGA-PBE level.

Output
Fermi-level density of states = 0.31 states/eV/atom
energy above the most stable polymorph in this dataset = 0.166 eV per atom
calculated volume = 114.5 Å³/f.u.
space group = No. 216
uncorrected formation energy = -0.043 eV/atom

abc: 5.4498 5.4498 5.4498
angles: 60.00 60.00 60.00
Element x y z (fractional)
Cd 0.5000 0.5000 0.5000
Tl 0.0000 0.0000 0.0000
Tl 0.7500 0.7500 0.7500
Se 0.2500 0.2500 0.2500

6.
Below is an optimized crystal structure of TlCdSe2, with properties calculated at the GGA-PBE level.

Output
Fermi-level density of states = 0.23 states/eV/atom
calculated volume = 109.1 Å³/f.u.
space group = No. 38
uncorrected formation energy = -0.253 eV/atom

abc: 7.2852 7.2852 4.0377
angles: 89.96 89.96 30.61
Element x y z (fractional)
Se 0.9526 0.9526 0.1249
Se 0.7304 0.7304 0.6254
Tl 0.5281 0.5281 0.6247
Cd 0.2890 0.2890 0.1250